(1)
# PBE-GGA GaCuSb2, relaxed
data_GaCuSb2
_chemical_formula_sum 'Ga4 Cu4 Sb8'
_space_group_name_H-M_alt 'F -4 3 m'
_space_group_IT_number 216
_space_group_name_Hall 'F -4 2 3'
_cell_length_a 7.0619
_cell_length_b 7.0619
_cell_length_c 7.0619
_cell_angle_alpha 90.00
_cell_angle_beta 90.00
_cell_angle_gamma 90.00
loop_
_atom_site_label
_atom_site_fract_x
_atom_site_fract_y
_atom_site_fract_z
Ga1 0.0000 0.0000 0.0000
Cu1 0.2500 0.2500 0.2500
Sb1 0.0000 0.0000 0.5000
Sb2 0.2500 0.2500 0.7500
# energy: -54.7 eV for the cell shown

(2)
# PBE-GGA ScGaCu, relaxed
data_ScGaCu
_chemical_formula_sum 'Sc4 Ga4 Cu4'
_space_group_name_H-M_alt 'F -4 3 m'
_space_group_IT_number 216
_space_group_name_Hall 'F -4 2 3'
_cell_length_a 6.2330
_cell_length_b 6.2330
_cell_length_c 6.2330
_cell_angle_alpha 90.00
_cell_angle_beta 90.00
_cell_angle_gamma 90.00
loop_
_atom_site_label
_atom_site_fract_x
_atom_site_fract_y
_atom_site_fract_z
Sc1 0.0000 0.0000 0.0000
Ga1 0.2500 0.2500 0.2500
Cu1 0.2500 0.2500 0.7500
# M_tot: 0.0001 μB/atom
# energy: -50.2 eV for the cell shown

(3)
# PBE-GGA Sc2GaCu, relaxed
data_Sc2GaCu
_chemical_formula_sum 'Sc12 Ga6 Cu6'
_space_group_name_H-M_alt 'P n n m'
_space_group_IT_number 58
_space_group_name_Hall '-P 2 2n'
_cell_length_a 4.6801
_cell_length_b 14.0413
_cell_length_c 6.6147
_cell_angle_alpha 90.00
_cell_angle_beta 90.00
_cell_angle_gamma 90.00
loop_
_atom_site_label
_atom_site_fract_x
_atom_site_fract_y
_atom_site_fract_z
Sc1 0.0000 0.0000 0.2500
Sc2 0.0004 0.3333 0.2500
Ga1 0.0003 0.1667 0.0000
Ga2 0.0000 0.5000 0.0000
Cu1 0.0000 0.5000 0.5000
Cu2 0.0014 0.1667 0.5000
# M_tot: 0.0025 μB/atom
# energy: -127.7 eV for the cell shown

(4)
# PBE-GGA Sc2GaCu, relaxed
data_Sc2GaCu
_chemical_formula_sum 'Sc8 Ga4 Cu4'
_space_group_name_H-M_alt 'F -4 3 m'
_space_group_IT_number 216
_space_group_name_Hall 'F -4 2 3'
_cell_length_a 6.5801
_cell_length_b 6.5801
_cell_length_c 6.5801
_cell_angle_alpha 90.00
_cell_angle_beta 90.00
_cell_angle_gamma 90.00
loop_
_atom_site_label
_atom_site_fract_x
_atom_site_fract_y
_atom_site_fract_z
Sc1 0.0000 0.0000 0.0000
Sc2 0.2500 0.2500 0.2500
Ga1 0.2500 0.2500 0.7500
Cu1 0.0000 0.0000 0.5000
# M_tot: 0.4168 μB/atom
# energy: -78.6 eV for the cell shown

(5)
# PBE-GGA Sc3Ga4Cu2, relaxed
data_Sc3Ga4Cu2
_chemical_formula_sum 'Sc6 Ga8 Cu4'
_space_group_name_H-M_alt 'C 1 2/m 1'
_space_group_IT_number 12
_space_group_name_Hall '-C 2y'
_cell_length_a 9.8422
_cell_length_b 4.2758
_cell_length_c 8.0684
_cell_angle_alpha 90.00
_cell_angle_beta 115.21
_cell_angle_gamma 90.00
loop_
_atom_site_label
_atom_site_fract_x
_atom_site_fract_y
_atom_site_fract_z
Sc1 0.0000 0.0000 0.0000
Sc2 0.1686 0.5000 0.6578
Ga1 0.0432 0.0000 0.3720
Ga2 0.2323 0.5000 0.0751
Cu1 0.1046 0.5000 0.2748
# M_tot: 0.0050 μB/atom
# energy: -86.8 eV for the cell shown

(6)
# PBE-GGA Sc2GaCu, relaxed
data_Sc2GaCu
_chemical_formula_sum 'Sc4 Ga2 Cu2'
_space_group_name_H-M_alt 'P 63/m m c'
_space_group_IT_number 194
_space_group_name_Hall '-P 6c 2c'
_cell_length_a 4.2738
_cell_length_b 4.2738
_cell_length_c 9.5757
_cell_angle_alpha 90.00
_cell_angle_beta 90.00
_cell_angle_gamma 120.00
loop_
_atom_site_label
_atom_site_fract_x
_atom_site_fract_y
_atom_site_fract_z
Sc1 0.3333 0.6667 0.0975
Ga1 0.0000 0.0000 0.2500
Cu1 0.3333 0.6667 0.7500
# M_tot: 0.0178 μB/atom
# energy: -40.8 eV for the cell shown

(7)
# PBE-GGA Sc2GaCu, relaxed
data_Sc2GaCu
_chemical_formula_sum 'Sc2 Ga1 Cu1'
_space_group_name_H-M_alt 'P 4/m m m'
_space_group_IT_number 123
_space_group_name_Hall '-P 4 2'
_cell_length_a 3.2686
_cell_length_b 3.2686
_cell_length_c 6.7593
_cell_angle_alpha 90.00
_cell_angle_beta 90.00
_cell_angle_gamma 90.00
loop_
_atom_site_label
_atom_site_fract_x
_atom_site_fract_y
_atom_site_fract_z
Sc1 0.0000 0.0000 0.2387
Ga1 0.5000 0.5000 0.5000
Cu1 0.5000 0.5000 0.0000
# M_tot: 0.0005 μB/atom
# energy: -21.2 eV for the cell shown

(8)
# PBE-GGA ScGa6Cu6, relaxed
data_ScGa6Cu6
_chemical_formula_sum 'Sc2 Ga12 Cu12'
_space_group_name_H-M_alt 'I m m m'
_space_group_IT_number 71
_space_group_name_Hall '-I 2 2'
_cell_length_a 5.1259
_cell_length_b 8.4188
_cell_length_c 8.6181
_cell_angle_alpha 90.00
_cell_angle_beta 90.00
_cell_angle_gamma 90.00
loop_
_atom_site_label
_atom_site_fract_x
_atom_site_fract_y
_atom_site_fract_z
Sc1 0.0000 0.0000 0.0000
Ga1 0.0000 0.0000 0.3430
Ga2 0.0000 0.3443 0.0000
Ga3 0.0000 0.5000 0.3177
Cu1 0.0000 0.2629 0.5000
Cu2 0.2500 0.2500 0.2500
# M_tot: 0.0003 μB/atom
# energy: -100.4 eV for the cell shown